No. 1
Entry from the Alexandria database: a relaxed structure of Tl12HgAu5 (PBE).

Values from the calculation:
**Energy of formation from the pure elements**: -0.011 eV/atom

a = 9.0316 Å, b = 9.5788 Å, c = 11.4547 Å
α = 90.00°, β = 90.00°, γ = 90.00°
Last column: nearest neighbours and their distance in Å.
Space group Immm (No. 71)
One atom of each set of equivalent atoms:
Tl1 0.0000 0.2093 0.1777  3 Au 2.99-3.20
Tl2 0.1918 0.2183 0.5000  4 Au 3.02-3.21
Tl3 0.1933 0.5000 0.2573  3 Au 3.09-3.28, 2 Tl 3.41, 1 Hg 3.43
Hg1 0.0000 0.5000 0.0000  12 Tl 3.43-3.48
Au1 0.0000 0.0000 0.3713  1 Au 2.95, 8 Tl 2.99-3.14
Au2 0.0000 0.5000 0.5000  2 Au 3.08, 8 Tl 3.21-3.28
Au3 0.1584 0.0000 0.0000  2 Au 2.86-3.08, 8 Tl 3.02-3.20

No. 2
Entry from the Alexandria database: a relaxed structure of Cs8SbAuF2 (PBE).

Values from the calculation:
**Formation energy from raw total energies**: -0.99 eV/atom

a = 9.2572 Å, b = 9.2572 Å, c = 10.7781 Å
α = 90.00°, β = 90.00°, γ = 120.00°
Last column: nearest neighbours and their distance in Å.
Space group P-3m1 (No. 164)
One atom of each set of equivalent atoms:
Cs1 0.1647 0.3295 0.2700  1 F 2.87
Cs2 0.3333 0.6667 0.9278  1 F 2.73
Sb1 0.0000 0.0000 0.0000  6 Cs 3.93
Au1 0.0000 0.0000 0.5000  6 Cs 3.62
F1 0.3333 0.6667 0.1807  4 Cs 2.73-2.87

No. 3
Entry from the Alexandria database: a relaxed structure of VHSe2 (PBE).

Values from the calculation:
**Offset from the most stable computed form**: 1278 meV/atom

a = 3.0377 Å, b = 3.0377 Å, c = 23.1705 Å
α = 90.00°, β = 90.00°, γ = 120.00°
Last column: nearest neighbours and their distance in Å.
Space group R-3m (No. 166, hexagonal axes)
One atom of each set of equivalent atoms:
V1 0.0000 0.0000 0.0000  2 Se 2.38
H1 0.0000 0.0000 0.5000  6 Se 2.30
Se1 0.0000 0.0000 0.1028  3 H 2.30, 1 V 2.38

No. 4
Entry from the Alexandria database: a relaxed structure of AgMo2Ru (PBE).

Values from the calculation:
**Energy of formation from the pure elements**: 0.406 eV/atom
**Offset from the most stable computed form**: 126 meV/atom

a = 3.2217 Å, b = 3.2217 Å, c = 6.2115 Å
α = 90.00°, β = 90.00°, γ = 90.00°
Last column: nearest neighbours and their distance in Å.
Space group P4mm (No. 99)
One atom of each set of equivalent atoms:
Ag1 0.0000 0.0000 0.0000  4 Ru 2.85, 5 Mo 2.86-3.02
Mo1 0.0000 0.0000 0.5139  4 Ru 2.63, 4 Mo 2.70
Mo2 0.5000 0.5000 0.2791  4 Mo 2.70, 1 Ru 2.76, 4 Ag 2.86
Ru1 0.5000 0.5000 0.7242  5 Mo 2.63-2.76, 4 Ag 2.85

No. 5
Entry from the Alexandria database: a relaxed structure of TbAs2Rh3 (PBE).

Values from the calculation:
**Energy of formation from the pure elements**: -0.862 eV/atom

a = 16.4058 Å, b = 3.9874 Å, c = 9.8726 Å
α = 90.00°, β = 107.71°, γ = 90.00°
Last column: nearest neighbours and their distance in Å.
Space group C2/m (No. 12)
One atom of each set of equivalent atoms:
Tb1 0.0000 0.0000 0.0000  6 As 3.06-3.16, 6 Rh 3.08
Tb2 0.1563 0.0000 0.6960  6 As 3.04-3.22, 7 Rh 3.16-3.36
As1 0.0410 0.5000 0.7810  4 Rh 2.41-2.65
As2 0.1378 0.5000 0.4550  7 Rh 2.37-2.63
As3 0.1950 0.0000 0.1292  6 Rh 2.45-2.58
Rh1 0.0000 0.5000 0.5000  4 As 2.43-2.65
Rh2 0.0405 0.0000 0.3263  4 As 2.45-2.63
Rh3 0.1214 0.5000 0.2019  4 As 2.43-2.72
Rh4 0.1801 0.5000 0.9572  4 As 2.41-2.58
Rh5 0.2194 0.0000 0.3920  4 As 2.37-2.58

No. 6
Entry from the Alexandria database: a relaxed structure of PrThRuN3 (PBE).

Values from the calculation:
**Formation energy from raw total energies**: -0.83 eV/atom

a = 7.5701 Å, b = 3.4923 Å, c = 7.6635 Å
α = 90.00°, β = 97.59°, γ = 90.00°
Last column: nearest neighbours and their distance in Å.
Space group P2_1/m (No. 11)
One atom of each set of equivalent atoms:
Pr1 0.1610 0.2500 0.1840  7 N 2.50-2.75
Th1 0.3589 0.7500 0.8211  5 N 2.35-2.54
Ru1 0.0983 0.2500 0.5773  4 N 2.08-2.11
N1 0.1223 0.2500 0.8545  1 Ru 2.11
N2 0.1793 0.7500 0.4566  3 Ru 2.08-2.10
N3 0.4117 0.7500 0.1300  3 Th 2.35-2.46

No. 7
Entry from the Alexandria database: a relaxed structure of Na3MnSb (PBE).

Values from the calculation:
**Offset from the most stable computed form**: 0 meV/atom
**Formation energy from raw total energies**: 0.42 eV/atom

a = 5.8929 Å, b = 5.8929 Å, c = 5.8929 Å
α = 90.00°, β = 90.00°, γ = 90.00°
Last column: nearest neighbours and their distance in Å.
Space group Pm-3m (No. 221)
One atom of each set of equivalent atoms:
Na1 0.0000 0.0000 0.5000  2 Sb 2.95
Mn1 0.5000 0.5000 0.5000  12 Na 4.17
Sb1 0.0000 0.0000 0.0000  6 Na 2.95

No. 8
Entry from the Alexandria database: a relaxed structure of Ca2ZrBr (PBE).

Values from the calculation:
**Offset from the most stable computed form**: 575 meV/atom
**Formation energy from raw total energies**: 0.10 eV/atom

a = 3.6095 Å, b = 5.3531 Å, c = 6.2426 Å
α = 90.00°, β = 90.00°, γ = 90.00°
Last column: nearest neighbours and their distance in Å.
Space group Pmmm (No. 47)
One atom of each set of equivalent atoms:
Ca1 0.0000 0.0000 0.0000  4 Br 3.23, 6 Ca 3.61
Ca2 0.5000 0.0000 0.5000  4 Zr 3.23, 6 Ca 3.61
Zr1 0.0000 0.5000 0.5000  4 Ca 3.23, 4 Br 3.61, 2 Zr 3.61
Br1 0.5000 0.5000 0.0000  4 Ca 3.23, 4 Zr 3.61, 2 Br 3.61

No. 9
Entry from the Alexandria database: a relaxed structure of LiGeOs3 (PBE).

Values from the calculation:
**Energy of formation from the pure elements**: 1.663 eV/atom
**Offset from the most stable computed form**: 197 meV/atom

a = 4.5613 Å, b = 4.5613 Å, c = 4.5613 Å
α = 90.00°, β = 90.00°, γ = 90.00°
Last column: nearest neighbours and their distance in Å.
Space group Pm-3m (No. 221)
One atom of each set of equivalent atoms:
Li1 0.0000 0.0000 0.0000  12 Os 3.23
Ge1 0.5000 0.5000 0.5000  6 Os 2.28
Os1 0.0000 0.5000 0.5000  2 Ge 2.28